# 1
Below is an optimized crystal structure of CrMo2W, with properties calculated at the PBE level.

Results
distance to the lowest polymorph of the same formula: 8.162 kcal/mol of atoms

Cell lengths 8.353, 8.353, 8.353 Å; angles 20.28, 20.28, 20.28 degrees
Fractional positions:
Cr: 0.750 0.750 0.750
Mo: 0.004 0.004 0.004
Mo: 0.251 0.251 0.251
W: 0.496 0.496 0.496

=====

# 2
Below is an optimized crystal structure of CrMoW, with properties calculated at the PBE level.

Results
distance to the lowest polymorph of the same formula: 0.187 kcal/mol of atoms

Cell lengths 4.362, 3.094, 13.013 Å; angles 90.00, 90.00, 90.00 degrees
Fractional positions:
Cr: 0.000 0.000 0.525
Cr: 0.000 0.500 0.025
Cr: 0.500 0.000 0.688
Cr: 0.500 0.500 0.188
Mo: 0.000 0.000 0.185
Mo: 0.000 0.500 0.685
Mo: 0.500 0.000 0.355
Mo: 0.500 0.500 0.855
W: 0.500 0.000 0.027
W: 0.500 0.500 0.527
W: 0.000 0.000 0.858
W: 0.000 0.500 0.358

=====

# 3
Below is an optimized crystal structure of CrMo3W, with properties calculated at the PBE level.

Results
distance to the lowest polymorph of the same formula: 0.000 kcal/mol of atoms

Cell lengths 5.256, 5.186, 6.972 Å; angles 71.94, 74.01, 60.25 degrees
Fractional positions:
Cr: 0.992 0.207 0.733
Cr: 0.089 0.798 0.025
Mo: 0.886 0.130 0.421
Mo: 0.604 0.267 0.033
Mo: 0.328 0.567 0.652
Mo: 0.088 0.317 0.033
Mo: 0.897 0.639 0.410
Mo: 0.380 0.147 0.426
W: 0.476 0.716 0.222
W: 0.643 0.861 0.806

=====

# 4
Below is an optimized crystal structure of CrMo2W, with properties calculated at the PBE level.

Results
distance to the lowest polymorph of the same formula: 0.000 kcal/mol of atoms

Cell lengths 4.388, 4.388, 4.388 Å; angles 60.00, 60.00, 60.00 degrees
Fractional positions:
Cr: 0.500 0.500 0.500
Mo: 0.000 0.000 0.000
Mo: 0.250 0.250 0.250
W: 0.750 0.750 0.750

=====

# 5
Below is an optimized crystal structure of CrMo3W, with properties calculated at the PBE level.

Results
distance to the lowest polymorph of the same formula: 3.390 kcal/mol of atoms

Cell lengths 8.575, 6.650, 6.929 Å; angles 57.93, 128.23, 149.08 degrees
Fractional positions:
Cr: 0.187 0.250 0.374
Cr: 0.813 0.750 0.626
Mo: 0.785 0.167 0.372
Mo: 0.587 0.333 0.372
Mo: 0.413 0.667 0.628
Mo: 0.215 0.833 0.628
Mo: 0.000 0.000 0.000
Mo: 0.000 0.500 0.000
W: 0.467 0.250 0.934
W: 0.533 0.750 0.066

=====

# 6
Below is an optimized crystal structure of CrMoW, with properties calculated at the PBE level.

Results
distance to the lowest polymorph of the same formula: 0.000 kcal/mol of atoms

Cell lengths 4.342, 4.342, 5.370 Å; angles 90.00, 90.00, 120.00 degrees
Fractional positions:
Cr: 0.667 0.333 0.284
Cr: 0.333 0.667 0.610
Mo: 0.000 0.000 0.946
Mo: 0.667 0.333 0.773
W: 0.000 0.000 0.445
W: 0.333 0.667 0.122

=====

# 7
Below is an optimized crystal structure of CrMoW, with properties calculated at the PBE level.

Results
distance to the lowest polymorph of the same formula: 17.137 kcal/mol of atoms

Cell lengths 4.136, 4.136, 4.136 Å; angles 60.00, 60.00, 60.00 degrees
Fractional positions:
Cr: 0.750 0.750 0.750
Mo: 0.000 0.000 0.000
W: 0.500 0.500 0.500

=====

# 8
Below is an optimized crystal structure of CrMoW2, with properties calculated at the PBE level.

Results
distance to the lowest polymorph of the same formula: 0.533 kcal/mol of atoms

Cell lengths 4.403, 4.403, 4.403 Å; angles 60.00, 60.00, 60.00 degrees
Fractional positions:
Cr: 0.500 0.500 0.500
Mo: 0.750 0.750 0.750
W: 0.000 0.000 0.000
W: 0.250 0.250 0.250

=====

# 9
Below is an optimized crystal structure of Cr2MoW2, with properties calculated at the PBE level.

Results
distance to the lowest polymorph of the same formula: 3.395 kcal/mol of atoms

Cell lengths 7.235, 7.235, 2.855 Å; angles 90.00, 90.00, 90.00 degrees
Fractional positions:
Cr: 0.152 0.652 0.500
Cr: 0.652 0.848 0.500
Cr: 0.848 0.348 0.500
Cr: 0.348 0.152 0.500
Mo: 0.000 0.000 0.000
Mo: 0.500 0.500 0.000
W: 0.351 0.851 0.000
W: 0.851 0.649 0.000
W: 0.649 0.149 0.000
W: 0.149 0.351 0.000

=====

# 10
Below is an optimized crystal structure of CrMo2W, with properties calculated at the PBE level.

Results
distance to the lowest polymorph of the same formula: 0.298 kcal/mol of atoms

Cell lengths 4.394, 4.394, 4.394 Å; angles 60.00, 60.00, 60.00 degrees
Fractional positions:
Cr: 0.000 0.000 0.000
Mo: 0.250 0.250 0.250
Mo: 0.750 0.750 0.750
W: 0.500 0.500 0.500

=====

# 11
Below is an optimized crystal structure of CrMoW2, with properties calculated at the PBE level.

Results
distance to the lowest polymorph of the same formula: 8.791 kcal/mol of atoms

Cell lengths 8.409, 8.409, 8.409 Å; angles 20.13, 20.13, 20.13 degrees
Fractional positions:
Cr: 0.250 0.250 0.250
Mo: 0.750 0.750 0.750
W: 0.996 0.996 0.996
W: 0.504 0.504 0.504

=====

# 12
Below is an optimized crystal structure of CrMoW2, with properties calculated at the PBE level.

Results
distance to the lowest polymorph of the same formula: 0.460 kcal/mol of atoms

Cell lengths 2.715, 2.715, 8.689 Å; angles 90.00, 90.00, 109.56 degrees
Fractional positions:
Cr: 0.500 0.500 0.250
Mo: 0.500 0.500 0.750
W: 0.000 0.000 0.011
W: 0.000 0.000 0.489

=====

# 13
Below is an optimized crystal structure of Cr2Mo6W3, with properties calculated at the PBE level.

Cell lengths 2.576, 4.674, 14.513 Å; angles 99.27, 95.09, 90.00 degrees
Fractional positions:
Cr: 0.462 0.462 0.923
Cr: 0.538 0.538 0.077
Mo: 0.590 0.090 0.179
Mo: 0.128 0.628 0.257
Mo: 0.410 0.910 0.821
Mo: 0.872 0.372 0.743
Mo: 0.722 0.722 0.445
Mo: 0.278 0.278 0.555
W: 0.000 0.000 0.000
W: 0.818 0.818 0.636
W: 0.182 0.182 0.364

=====

# 14
Below is an optimized crystal structure of Cr4Mo3W, with properties calculated at the PBE level.

Cell lengths 3.025, 4.273, 8.545 Å; angles 90.00, 90.00, 90.00 degrees
Fractional positions:
Cr: 0.000 0.000 0.500
Cr: 0.000 0.500 0.750
Cr: 0.000 0.000 0.000
Cr: 0.000 0.500 0.250
Mo: 0.500 0.000 0.250
Mo: 0.500 0.500 0.500
Mo: 0.500 0.000 0.750
W: 0.500 0.500 0.000

=====

# 15
Below is an optimized crystal structure of Cr2MoW8, with properties calculated at the PBE level.

Cell lengths 6.799, 5.465, 5.465 Å; angles 100.81, 102.87, 102.87 degrees
Fractional positions:
Cr: 0.561 0.680 0.680
Cr: 0.439 0.320 0.320
Mo: 0.000 0.000 0.000
W: 0.290 0.345 0.855
W: 0.710 0.145 0.655
W: 0.312 0.859 0.859
W: 0.688 0.141 0.141
W: 0.290 0.855 0.345
W: 0.710 0.655 0.145
W: 0.881 0.609 0.609
W: 0.119 0.391 0.391

=====

# 16
Below is an optimized crystal structure of Cr2MoW4, with properties calculated at the PBE level.

Cell lengths 3.177, 3.125, 10.836 Å; angles 90.00, 98.43, 90.00 degrees
Fractional positions:
Cr: 0.788 0.500 0.575
Cr: 0.212 0.500 0.425
Mo: 0.500 0.000 0.000
W: 0.926 0.500 0.852
W: 0.650 0.000 0.301
W: 0.074 0.500 0.148
W: 0.350 0.000 0.699

=====

# 17
Below is an optimized crystal structure of CrMo2W, with properties calculated at the PBE level.

Results
distance to the lowest polymorph of the same formula: 0.195 kcal/mol of atoms

Cell lengths 3.108, 3.108, 6.204 Å; angles 90.00, 90.00, 90.00 degrees
Fractional positions:
Cr: 0.500 0.500 0.750
Mo: 0.000 0.000 0.990
Mo: 0.000 0.000 0.510
W: 0.500 0.500 0.250

=====

# 18
Below is an optimized crystal structure of CrMo2W, with properties calculated at the PBE level.

Results
distance to the lowest polymorph of the same formula: 7.069 kcal/mol of atoms

Cell lengths 4.567, 3.657, 3.657 Å; angles 90.00, 90.00, 90.00 degrees
Fractional positions:
Cr: 0.500 0.000 0.500
Mo: 0.000 0.000 0.000
Mo: 0.000 0.500 0.500
W: 0.500 0.500 0.000

=====

# 19
Below is an optimized crystal structure of Cr4MoW, with properties calculated at the PBE level.

Cell lengths 4.815, 4.815, 4.815 Å; angles 60.00, 60.00, 60.00 degrees
Fractional positions:
Cr: 0.375 0.375 0.375
Cr: 0.375 0.875 0.375
Cr: 0.375 0.375 0.875
Cr: 0.875 0.375 0.375
Mo: 0.750 0.750 0.750
W: 0.000 0.000 0.000

=====

# 20
Below is an optimized crystal structure of CrMo2W, with properties calculated at the PBE level.

Results
distance to the lowest polymorph of the same formula: 7.932 kcal/mol of atoms

Cell lengths 5.232, 5.232, 2.620 Å; angles 90.00, 90.00, 120.80 degrees
Fractional positions:
Cr: 0.000 0.500 0.500
Mo: 0.000 0.000 0.000
Mo: 0.500 0.500 0.000
W: 0.500 0.000 0.500

=====

no.,calculated formation energy (eV per atom),size of the total moment (μB per formula unit)
1,0.393,0.00
2,0.053,0.00
3,0.287,0.00
4,0.039,0.00
5,0.434,0.00
6,0.045,0.00
7,0.788,0.00
8,0.054,0.00
9,0.556,0.00
10,0.052,0.00
11,0.413,0.00
12,0.051,0.00
13,0.397,0.00
14,0.041,0.00
15,0.782,0.00
16,0.227,0.00
17,0.048,0.00
18,0.346,0.40
19,0.068,0.00
20,0.383,0.14